(1)
Computed, not measured: a relaxed BaPaF6 crystal at the GGA-PBE level of DFT.

Cell: 5.1510 5.1510 6.1668 Å, 103.53 103.53 86.44°
Sites, in units of the cell vectors:
Ba 0.0000 0.0000 0.0000
Pa 0.5000 0.5000 0.5000
F 0.2009 0.2009 0.4645
F 0.2038 0.6087 0.2088
F 0.3913 0.7962 0.7912
F 0.6087 0.2038 0.2088
F 0.7962 0.3913 0.7912
F 0.7991 0.7991 0.5355

Computed properties:
Formation energy (no corrections) = -30.61 eV/f.u.
Raw total energy = -6.66 eV/atom
V = 154.7 Å³/cell
Symmetry = C2/m
Crystal system = monoclinic


(2)
Computed, not measured: a relaxed Ga2SnBr crystal at the GGA-PBE level of DFT.

Cell: 7.7885 7.7885 7.7885 Å, 30.43 30.43 30.43°
Sites, in units of the cell vectors:
Ga 0.0000 0.0000 0.0000
Ga 0.1892 0.1892 0.1892
Sn 0.5961 0.5961 0.5961
Br 0.4226 0.4226 0.4226

Computed properties:
Formation energy (no corrections) = -0.08 eV/f.u.
Raw total energy = -2.95 eV/atom
V = 107.4 Å³/cell
Symmetry = R3m
Crystal system = trigonal
E above lowest polymorph = 0.000 eV/atom


(3)
Computed, not measured: a relaxed K6Rb3Tl2 crystal at the GGA-PBE level of DFT.

Cell: 16.8230 16.8230 16.8230 Å, 156.76 156.76 33.10°
Sites, in units of the cell vectors:
K 0.0832 0.5831 0.5000
K 0.1660 0.1660 0.0000
K 0.4168 0.9168 0.5000
K 0.5831 0.0832 0.5000
K 0.8340 0.8340 0.0000
K 0.9168 0.4168 0.5000
Rb 0.3045 0.3045 0.0000
Rb 0.5000 0.5000 0.0000
Rb 0.6955 0.6955 0.0000
Tl 0.0451 0.0451 0.0000
Tl 0.9549 0.9549 0.0000

Computed properties:
Raw total energy = -1.27 eV/atom
V = 740.6 Å³/cell
Symmetry = I4/mmm
Crystal system = tetragonal
Formation energy from the elements = 0.018 eV/atom